Below is a relaxed CuOsPt2 crystal, with properties calculated at the PBE-GGA level.

Cell and atoms, written as POSCAR:
```
CuOsPt2
1.0
-2.2803 3.2418 1.8253
-2.7246 -0.8397 3.3034
0.9767 1.3538 4.0316
Os Pt Cu
1 2 1
Direct
0.7500 0.7500 0.7500
0.2500 0.2500 0.2500
0.0000 0.0000 0.0000
0.5000 0.5000 0.5000
```

Output
The calculation puts the density of states at the Fermi level at 4.62 states/eV/cell. The value obtained for the total magnetization is 0.87 μB/f.u. For the excess energy over the best structure of this formula in the dataset, the calculation gives 1.35 eV/f.u. The total energy comes out at -6.506 eV per atom. The density is 18.2 g/cm3.

Below is a relaxed Cu2OsPt crystal, with properties calculated at the PBE-GGA level.

Cell and atoms, written as POSCAR:
```
Cu2OsPt
1.0
-3.5166 -2.6401 1.5623
-1.2774 -4.0095 2.0172
-0.0214 1.4381 4.4351
Os Cu Pt
1 2 1
Direct
0.5003 0.5003 0.5149
0.9992 0.9992 0.0198
0.2471 0.2471 0.2332
0.7534 0.7534 0.7322
```

Output
The calculation puts the density of states at the Fermi level at 3.46 states/eV/cell. The value obtained for the total magnetization is 0.00 μB/f.u. For the excess energy over the best structure of this formula in the dataset, the calculation gives 0.42 eV/f.u. The total energy comes out at -6.192 eV per atom. The density is 15.5 g/cm3.

What is the formula in the first record?
CuOsPt2

Among the records above, which one has the lowest excess energy over the best structure of this formula in the dataset?
Cu2OsPt

Number 2 is which compound?
Cu2OsPt

Which of these has the highest excess energy over the best structure of this formula in the dataset?
CuOsPt2